No. 1
Computed, not measured: NbCN2F after structural relaxation at the GGA-PBE level of DFT.

Computed properties:
- formation energy without anion corrections (eV/atom) = 1.0871
- symmetry = P4/mmm

Cell: 3.5806 3.5806 3.3743 Å, 90.00 90.00 90.00°
Closest atoms and distances in Å follow each position.
Fractional positions:
Nb 0.0000 0.0000 0.0000  8 N 2.46, 4 F 2.53
C 0.5000 0.5000 0.5000  2 F 1.69, 4 N 1.79
N 0.0000 0.5000 0.5000  2 C 1.79
N 0.5000 0.0000 0.5000  2 C 1.79
F 0.5000 0.5000 0.0000  2 C 1.69

=====

No. 2
Computed, not measured: NbCN2F after structural relaxation at the GGA-PBE level of DFT.

Computed properties:
- formation energy without anion corrections (eV/atom) = 1.0398
- symmetry = P4/mmm

Cell: 4.0775 4.0775 4.0452 Å, 90.00 90.00 90.00°
Closest atoms and distances in Å follow each position.
Fractional positions:
Nb 0.0000 0.0000 0.0000  2 F 2.02, 4 N 2.04
C 0.5000 0.5000 0.5000  8 N 2.87, 4 F 2.88
N 0.0000 0.5000 0.0000  2 Nb 2.04
N 0.5000 0.0000 0.0000  2 Nb 2.04
F 0.0000 0.0000 0.5000  2 Nb 2.02

=====

No. 3
Computed, not measured: NbCNF2 after structural relaxation at the GGA-PBE level of DFT.

Computed properties:
- formation energy without anion corrections (eV/atom) = -0.1019
- symmetry = P4/mmm

Cell: 4.7291 4.7291 2.4705 Å, 90.00 90.00 90.00°
Closest atoms and distances in Å follow each position.
Fractional positions:
Nb 0.0000 0.0000 0.0000  2 Nb 2.47, 8 F 2.67
C 0.5000 0.5000 0.5000  2 N 1.24
N 0.5000 0.5000 0.0000  2 C 1.24
F 0.0000 0.5000 0.5000  2 C 2.36, 2 F 2.47
F 0.5000 0.0000 0.5000  2 C 2.36, 2 F 2.47

=====

No. 4
Computed, not measured: NbCNF2 after structural relaxation at the GGA-PBE level of DFT.

Computed properties:
- formation energy without anion corrections (eV/atom) = 0.0800
- symmetry = P4/mmm

Cell: 4.1043 4.1043 4.0319 Å, 90.00 90.00 90.00°
Closest atoms and distances in Å follow each position.
Fractional positions:
Nb 0.0000 0.0000 0.0000  2 N 2.02, 4 F 2.05
C 0.5000 0.5000 0.5000  8 F 2.88, 4 N 2.90
N 0.0000 0.0000 0.5000  2 Nb 2.02
F 0.0000 0.5000 0.0000  2 Nb 2.05
F 0.5000 0.0000 0.0000  2 Nb 2.05

=====

No. 5
Computed, not measured: NdCN2F after structural relaxation at the GGA-PBE level of DFT.

Computed properties:
- formation energy without anion corrections (eV/atom) = -1.6351
- symmetry = P2_1/m

Cell: 5.4185 3.8611 6.4199 Å, 90.00 103.57 90.00°
Closest atoms and distances in Å follow each position.
Fractional positions:
Nd 0.1787 0.2500 0.2937  3 F 2.39-2.45, 3 N 2.53-2.57
Nd 0.8213 0.7500 0.7063  3 F 2.39-2.45, 3 N 2.53-2.57
C 0.3380 0.2500 0.8194  2 N 1.23-1.24
C 0.6620 0.7500 0.1806  2 N 1.23-1.24
N 0.1474 0.2500 0.8945  1 C 1.24
N 0.4816 0.7500 0.2671  1 C 1.23
N 0.5184 0.2500 0.7329  1 C 1.23
N 0.8526 0.7500 0.1055  1 C 1.24
F 0.1574 0.7500 0.5229  3 Nd 2.39-2.45, 2 F 2.55, 1 N 2.67
F 0.8426 0.2500 0.4771  3 Nd 2.39-2.45, 2 F 2.55, 1 N 2.67

=====

No. 6
Computed, not measured: Nd4CNF2 after structural relaxation at the GGA-PBE level of DFT.

Computed properties:
- formation energy without anion corrections (eV/atom) = -1.7385
- symmetry = P2/m

Cell: 6.3285 3.6518 6.6014 Å, 90.00 108.63 90.00°
Closest atoms and distances in Å follow each position.
Fractional positions:
Nd 0.2372 0.0000 0.2170  2 N 2.50, 1 C 2.52, 3 F 2.75-2.76
Nd 0.2573 0.5000 0.7803  1 N 2.50, 2 C 2.52, 3 F 2.74-2.76
Nd 0.7427 0.5000 0.2197  1 N 2.50, 2 C 2.52, 3 F 2.74-2.76
Nd 0.7628 0.0000 0.7830  2 N 2.50, 1 C 2.52, 3 F 2.75-2.76
C 0.5000 0.0000 0.0000  6 Nd 2.52
N 0.0000 0.5000 0.0000  6 Nd 2.50
F 0.0000 0.0000 0.5000  6 Nd 2.74-2.75
F 0.5000 0.5000 0.5000  6 Nd 2.76

=====

Number 1: ρ 5.8 g cm⁻³. Number 2: ρ 3.8 g cm⁻³. Number 3: ρ 4.7 g cm⁻³. Number 4: ρ 3.8 g cm⁻³. Number 5: ρ 5.2 g cm⁻³. Number 6: ρ 7.4 g cm⁻³.